Below is DyFeP2O8 after structural relaxation, with properties calculated at the PBE with a Hubbard U level.

Results
The density of states at the Fermi level is 0.0 states/eV per cell. The calculation puts the total energy at -7.454 eV per atom.

Unit cell a=5.123 b=5.123 c=6.523 alpha=90.00 beta=90.00 gamma=120.00
Fractional coordinates of all 12 atoms:
Dy (0.000, 0.000, 0.000)
Fe (0.000, 0.000, 0.500)
P (0.333, 0.667, 0.219)
P (0.667, 0.333, 0.781)
O (0.168, 0.335, 0.295)
O (0.168, 0.832, 0.295)
O (0.333, 0.667, 0.985)
O (0.335, 0.168, 0.705)
O (0.665, 0.832, 0.295)
O (0.667, 0.333, 0.015)
O (0.832, 0.168, 0.705)
O (0.832, 0.665, 0.705)